Compound: Ba6Cd5Pb
Source: the Alexandria database
Functional: PBE
Structure: optimized geometry

The structure in CIF format:
```
data_Ba6Cd5Pb
_cell_length_a 6.027
_cell_length_b 8.566
_cell_length_c 18.114
_cell_angle_alpha 90.00
_cell_angle_beta 90.00
_cell_angle_gamma 90.00
_space_group_name_H-M_alt 'I m m m'
_space_group_IT_number 71
_space_group_name_Hall '-I 2 2'
loop_
_atom_site_label
_atom_site_type_symbol
_atom_site_fract_x
_atom_site_fract_y
_atom_site_fract_z
Ba1 Ba 0.000 0.250 0.000
Ba2 Ba 0.000 0.250 0.334
Cd1 Cd 0.000 0.000 0.166
Cd2 Cd 0.000 0.500 0.168
Cd3 Cd 0.000 0.500 0.500
Pb1 Pb 0.000 0.000 0.500
```

Values from the calculation:
Formation energy = -370 meV/atom
Crystal system = orthorhombic